Computed, not measured: crystalline RbNbSb3 at its relaxed geometry at the PBE level of DFT.

- space group = Pm-3m, No. 221
- energy above the lowest structure with this stoichiometry (meV/atom) = 2207
- ΔE_f (raw) (meV per atom) = 2172

Cell lengths 5.660, 5.660, 5.660 Å; angles 90.00, 90.00, 90.00 degrees
Fractional positions:
Sb: 0.000 0.500 0.000
Sb: 0.000 0.000 0.500
Sb: 0.500 0.000 0.000
Nb: 0.500 0.500 0.500
Rb: 0.000 0.000 0.000


Computed, not measured: crystalline MgRh3W at its relaxed geometry at the PBE level of DFT.

- DFT formation energy (kcal/mol of atoms) = 29.7
- space group = Pm-3m, No. 221
- energy above the lowest structure with this stoichiometry (meV/atom) = 545

Cell lengths 4.361, 4.361, 4.361 Å; angles 90.00, 90.00, 90.00 degrees
Fractional positions:
Mg: 0.000 0.000 0.000
Rh: 0.000 0.500 0.000
Rh: 0.000 0.000 0.500
Rh: 0.500 0.000 0.000
W: 0.500 0.500 0.500


Computed, not measured: crystalline Cs3Sn2I5Br2 at its relaxed geometry at the PBE level of DFT.

- space group = I4/mmm, No. 139
- ΔE_f (raw) (meV per atom) = -1111

Cell lengths 6.290, 6.290, 15.945 Å; angles 101.38, 101.38, 90.00 degrees
Fractional positions:
Cs: 0.184 0.184 0.367
Cs: 0.816 0.816 0.633
Cs: 0.000 0.000 0.000
Sn: 0.394 0.394 0.788
Sn: 0.606 0.606 0.212
I: 0.602 0.102 0.203
I: 0.398 0.898 0.797
I: 0.102 0.602 0.203
I: 0.898 0.398 0.797
I: 0.500 0.500 0.000
Br: 0.700 0.700 0.399
Br: 0.300 0.300 0.601